Entry 1
Density functional theory data (PBE-GGA) for a geometry-optimized AlPb3Au structure.

Results
SG: Pm-3m, No. 221
density of states at the Fermi level: 1.2 states/eV/cell
mass density: 8.156 g cm⁻³

a b c (Å): 5.5630 5.5630 5.5630
angles (deg): 90.00 90.00 90.00
Fractional positions:
Al (0.0000, 0.0000, 0.0000)
Pb (0.0000, 0.5000, 0.5000)
Pb (0.5000, 0.0000, 0.5000)
Pb (0.5000, 0.5000, 0.0000)
Au (0.5000, 0.5000, 0.5000)

Entry 2
Density functional theory data (PBE-GGA) for a geometry-optimized AlPb3Au structure.

Results
SG: Pm-3m, No. 221
density of states at the Fermi level: 2.2 states/eV/cell
mass density: 8.922 g cm⁻³

a b c (Å): 5.3989 5.3989 5.3989
angles (deg): 90.00 90.00 90.00
Fractional positions:
Al (0.0000, 0.0000, 0.0000)
Pb (0.0000, 0.0000, 0.5000)
Pb (0.0000, 0.5000, 0.0000)
Pb (0.5000, 0.0000, 0.0000)
Au (0.5000, 0.5000, 0.5000)

Which of them is the least stable? Correct choice: entry 2.

Entry 1
Density functional theory data (PBE-GGA) for a geometry-optimized Al2Pb2Au structure.

Results
SG: P4/mbm, No. 127
density of states at the Fermi level: 4.8 states/eV/cell
mass density: 9.351 g cm⁻³

a b c (Å): 6.7814 6.7814 5.1385
angles (deg): 90.00 90.00 90.00
Fractional positions:
Al (0.1392, 0.3608, 0.0000)
Al (0.3608, 0.8608, 0.0000)
Al (0.6392, 0.1392, 0.0000)
Al (0.8608, 0.6392, 0.0000)
Pb (0.1750, 0.6750, 0.5000)
Pb (0.3250, 0.1750, 0.5000)
Pb (0.6750, 0.8250, 0.5000)
Pb (0.8250, 0.3250, 0.5000)
Au (0.0000, 0.0000, 0.0000)
Au (0.5000, 0.5000, 0.0000)

Entry 2
Density functional theory data (PBE-GGA) for a geometry-optimized Al2Pb2Au structure.

Results
SG: I4/mmm, No. 139
density of states at the Fermi level: 2.1 states/eV/cell
mass density: 8.961 g cm⁻³

a b c (Å): 9.1676 9.1676 9.1676
angles (deg): 156.41 156.41 33.61
Fractional positions:
Al (0.2500, 0.7500, 0.5000)
Al (0.7500, 0.2500, 0.5000)
Pb (0.0997, 0.0997, 0.0000)
Pb (0.9003, 0.9003, 0.0000)
Au (0.5000, 0.5000, 0.0000)

Which of them is the least stable? Correct choice: entry 2.

Entry 1
Density functional theory data (PBE-GGA) for a geometry-optimized AlPdAu structure.

Results
SG: F-43m, No. 216
density of states at the Fermi level: 0.5 states/eV/cell
mass density: 10.398 g cm⁻³

a b c (Å): 4.2099 4.2099 4.2099
angles (deg): 60.00 60.00 60.00
Fractional positions:
Al (0.0000, 0.0000, 0.0000)
Pd (0.7500, 0.7500, 0.7500)
Au (0.2500, 0.2500, 0.2500)

Entry 2
Density functional theory data (PBE-GGA) for a geometry-optimized AlPdAu structure.

Results
SG: I4/mmm, No. 139
density of states at the Fermi level: 1.9 states/eV/cell
mass density: 10.983 g cm⁻³

a b c (Å): 10.7317 10.7317 10.7317
angles (deg): 163.48 163.48 23.44
Fractional positions:
Al (0.1420, 0.1420, 0.0000)
Al (0.8580, 0.8580, 0.0000)
Pd (0.2957, 0.2957, 0.0000)
Pd (0.7043, 0.7043, 0.0000)
Au (0.4357, 0.4357, 0.0000)
Au (0.5643, 0.5643, 0.0000)

Which of them is the least stable? Correct choice: entry 1.

Entry 1
Density functional theory data (PBE-GGA) for a geometry-optimized AlPdAu6 structure.

Results
SG: Amm2, No. 38
density of states at the Fermi level: 2.8 states/eV/cell
mass density: 15.775 g cm⁻³

a b c (Å): 3.8542 5.9941 5.9941
angles (deg): 88.68 90.00 90.00
Fractional positions:
Al (0.0000, 0.0000, 0.0000)
Pd (0.5000, 0.2135, 0.2135)
Au (0.0000, 0.4731, 0.4731)
Au (0.0000, 0.4764, 0.9783)
Au (0.0000, 0.9783, 0.4764)
Au (0.5000, 0.2164, 0.7369)
Au (0.5000, 0.7369, 0.2164)
Au (0.5000, 0.7373, 0.7373)

Entry 2
Density functional theory data (PBE-GGA) for a geometry-optimized AlPdAu6 structure.

Results
SG: P-1, No. 2
density of states at the Fermi level: 1.8 states/eV/cell
mass density: 14.886 g cm⁻³

a b c (Å): 4.8016 5.3680 6.1268
angles (deg): 69.62 83.88 83.55
Fractional positions:
Al (0.0000, 0.0000, 0.0000)
Pd (0.5000, 0.5000, 0.5000)
Au (0.0294, 0.4923, 0.2539)
Au (0.2348, 0.0091, 0.6061)
Au (0.4571, 0.2542, 0.9996)
Au (0.5429, 0.7458, 0.0004)
Au (0.7652, 0.9909, 0.3939)
Au (0.9706, 0.5077, 0.7461)

Which of them is the least stable? Correct choice: entry 2.

Entry 1
Density functional theory data (PBE-GGA) for a geometry-optimized Al2PdAu2 structure.

Results
SG: I4/mmm, No. 139
density of states at the Fermi level: 2.2 states/eV/cell
mass density: 10.284 g cm⁻³

a b c (Å): 6.5206 6.5206 6.5206
angles (deg): 145.28 145.28 49.92
Fractional positions:
Al (0.2500, 0.7500, 0.5000)
Al (0.7500, 0.2500, 0.5000)
Pd (0.0000, 0.0000, 0.0000)
Au (0.3881, 0.3881, 0.0000)
Au (0.6119, 0.6119, 0.0000)

Entry 2
Density functional theory data (PBE-GGA) for a geometry-optimized Al2PdAu2 structure.

Results
SG: Cmc2_1, No. 36
density of states at the Fermi level: 3.6 states/eV/cell
mass density: 11.212 g cm⁻³

a b c (Å): 7.4435 7.4435 5.3054
angles (deg): 90.00 90.00 146.04
Fractional positions:
Al (0.0570, 0.9430, 0.5000)
Al (0.2772, 0.7228, 0.6396)
Al (0.7228, 0.2772, 0.1396)
Al (0.9430, 0.0570, 0.0000)
Pd (0.1344, 0.8656, 0.9730)
Pd (0.8656, 0.1344, 0.4730)
Au (0.3296, 0.6704, 0.1329)
Au (0.4621, 0.5379, 0.7061)
Au (0.5379, 0.4621, 0.2061)
Au (0.6704, 0.3296, 0.6329)

Entry 3
Density functional theory data (PBE-GGA) for a geometry-optimized Al2PdAu2 structure.

Results
SG: C2/m, No. 12
density of states at the Fermi level: 1.8 states/eV/cell
mass density: 10.605 g cm⁻³

a b c (Å): 4.2848 4.2848 5.3973
angles (deg): 90.48 90.48 61.15
Fractional positions:
Al (0.1645, 0.1645, 0.3269)
Al (0.8355, 0.8355, 0.6731)
Pd (0.5000, 0.5000, 0.5000)
Au (0.1712, 0.1712, 0.8341)
Au (0.8288, 0.8288, 0.1659)

Entry 4
Density functional theory data (PBE-GGA) for a geometry-optimized Al2PdAu2 structure.

Results
SG: P4/mbm, No. 127
density of states at the Fermi level: 2.0 states/eV/cell
mass density: 11.118 g cm⁻³

a b c (Å): 7.0481 7.0481 3.3333
angles (deg): 90.00 90.00 90.00
Fractional positions:
Al (0.1515, 0.3485, 0.0000)
Al (0.3485, 0.8485, 0.0000)
Al (0.6515, 0.1515, 0.0000)
Al (0.8485, 0.6515, 0.0000)
Pd (0.0000, 0.0000, 0.0000)
Pd (0.5000, 0.5000, 0.0000)
Au (0.1474, 0.6474, 0.5000)
Au (0.3526, 0.1474, 0.5000)
Au (0.6474, 0.8526, 0.5000)
Au (0.8526, 0.3526, 0.5000)

Which of them is the least stable? Correct choice: entry 1.

Entry 1
Density functional theory data (PBE-GGA) for a geometry-optimized AlPd5Au structure.

Results
SG: P4/mmm, No. 123
density of states at the Fermi level: 3.5 states/eV/cell
mass density: 11.040 g cm⁻³

a b c (Å): 4.0255 4.0255 7.0177
angles (deg): 90.00 90.00 90.00
Fractional positions:
Al (0.0000, 0.0000, 0.0000)
Pd (0.0000, 0.0000, 0.5000)
Pd (0.0000, 0.5000, 0.2105)
Pd (0.0000, 0.5000, 0.7895)
Pd (0.5000, 0.0000, 0.2105)
Pd (0.5000, 0.0000, 0.7895)
Au (0.5000, 0.5000, 0.5000)

Entry 2
Density functional theory data (PBE-GGA) for a geometry-optimized AlPd5Au structure.

Results
SG: C2/c, No. 15
density of states at the Fermi level: 11.3 states/eV/cell
mass density: 10.994 g cm⁻³

a b c (Å): 5.1253 5.1253 10.2956
angles (deg): 92.40 92.40 57.72
Fractional positions:
Al (0.2325, 0.7675, 0.7500)
Al (0.7675, 0.2325, 0.2500)
Pd (0.1442, 0.1543, 0.0590)
Pd (0.1543, 0.1442, 0.5590)
Pd (0.2442, 0.2652, 0.8192)
Pd (0.2652, 0.2442, 0.3192)
Pd (0.2674, 0.7326, 0.2500)
Pd (0.7326, 0.2674, 0.7500)
Pd (0.7348, 0.7558, 0.6808)
Pd (0.7558, 0.7348, 0.1808)
Pd (0.8457, 0.8558, 0.4410)
Pd (0.8558, 0.8457, 0.9410)
Au (0.5000, 0.5000, 0.0000)
Au (0.5000, 0.5000, 0.5000)

Which of them is the least stable? Correct choice: entry 2.

Entry 1
Density functional theory data (PBE-GGA) for a geometry-optimized AlPd4Au2 structure.

Results
SG: P1, No. 1
density of states at the Fermi level: 5.4 states/eV/cell
mass density: 12.579 g cm⁻³

a b c (Å): 5.5937 6.5856 7.1480
angles (deg): 114.19 101.43 101.52
Fractional positions:
Al (0.0000, 0.0000, 0.0000)
Al (0.2579, 0.5288, 0.8358)
Pd (0.0344, 0.7124, 0.6217)
Pd (0.1381, 0.2572, 0.4225)
Pd (0.3622, 0.3811, 0.1235)
Pd (0.5036, 0.9499, 0.9976)
Pd (0.5141, 0.6993, 0.5753)
Pd (0.7642, 0.5824, 0.8765)
Pd (0.8700, 0.3868, 0.1494)
Pd (0.9115, 0.1549, 0.7352)
Au (0.2366, 0.8091, 0.2503)
Au (0.4038, 0.1312, 0.7131)
Au (0.6429, 0.2745, 0.4333)
Au (0.7561, 0.8220, 0.3017)

Entry 2
Density functional theory data (PBE-GGA) for a geometry-optimized AlPd4Au2 structure.

Results
SG: I-42d, No. 122
density of states at the Fermi level: 5.0 states/eV/cell
mass density: 11.789 g cm⁻³

a b c (Å): 6.7674 6.7674 6.7674
angles (deg): 110.14 110.14 108.14
Fractional positions:
Al (0.0000, 0.0000, 0.0000)
Al (0.7500, 0.2500, 0.5000)
Pd (0.0987, 0.2057, 0.7383)
Pd (0.1104, 0.7174, 0.7617)
Pd (0.2826, 0.0443, 0.3930)
Pd (0.4674, 0.3604, 0.2617)
Pd (0.6396, 0.9013, 0.1070)
Pd (0.6513, 0.8896, 0.6070)
Pd (0.7943, 0.5326, 0.8930)
Pd (0.9557, 0.3487, 0.2383)
Au (0.2627, 0.6250, 0.1377)
Au (0.3750, 0.5127, 0.6377)
Au (0.4873, 0.1250, 0.8623)
Au (0.8750, 0.7373, 0.3623)

Which of them is the least stable? Correct choice: entry 2.

Entry 1
Density functional theory data (PBE-GGA) for a geometry-optimized Al2Pd2Au structure.

Results
SG: Cmc2_1, No. 36
density of states at the Fermi level: 3.7 states/eV/cell
mass density: 9.803 g cm⁻³

a b c (Å): 7.2362 7.2362 5.4455
angles (deg): 90.00 90.00 146.56
Fractional positions:
Al (0.0710, 0.9290, 0.5000)
Al (0.2887, 0.7113, 0.6805)
Al (0.7113, 0.2887, 0.1805)
Al (0.9290, 0.0710, 0.0000)
Pd (0.3248, 0.6752, 0.1423)
Pd (0.4744, 0.5256, 0.7501)
Pd (0.5256, 0.4744, 0.2501)
Pd (0.6752, 0.3248, 0.6423)
Au (0.1243, 0.8757, 0.9829)
Au (0.8757, 0.1243, 0.4829)

Entry 2
Density functional theory data (PBE-GGA) for a geometry-optimized Al2Pd2Au structure.

Results
SG: I4/mmm, No. 139
density of states at the Fermi level: 1.2 states/eV/cell
mass density: 8.970 g cm⁻³

a b c (Å): 6.4263 6.4263 6.4263
angles (deg): 145.24 145.24 49.98
Fractional positions:
Al (0.1100, 0.1100, 0.0000)
Al (0.8900, 0.8900, 0.0000)
Pd (0.2500, 0.7500, 0.5000)
Pd (0.7500, 0.2500, 0.5000)
Au (0.5000, 0.5000, 0.0000)

Entry 3
Density functional theory data (PBE-GGA) for a geometry-optimized Al2Pd2Au structure.

Results
SG: P4/mbm, No. 127
density of states at the Fermi level: 3.0 states/eV/cell
mass density: 9.895 g cm⁻³

a b c (Å): 7.2438 7.2438 2.9664
angles (deg): 90.00 90.00 90.00
Fractional positions:
Al (0.1469, 0.3531, 0.0000)
Al (0.3531, 0.8531, 0.0000)
Al (0.6469, 0.1469, 0.0000)
Al (0.8531, 0.6469, 0.0000)
Pd (0.1466, 0.6466, 0.5000)
Pd (0.3534, 0.1466, 0.5000)
Pd (0.6466, 0.8534, 0.5000)
Pd (0.8534, 0.3534, 0.5000)
Au (0.0000, 0.0000, 0.0000)
Au (0.5000, 0.5000, 0.0000)

Entry 4
Density functional theory data (PBE-GGA) for a geometry-optimized Al2Pd2Au structure.

Results
SG: P4/mbm, No. 127
density of states at the Fermi level: 3.4 states/eV/cell
mass density: 9.851 g cm⁻³

a b c (Å): 7.3536 7.3536 2.8913
angles (deg): 90.00 90.00 90.00
Fractional positions:
Al (0.1595, 0.3405, 0.0000)
Al (0.3405, 0.8405, 0.0000)
Al (0.6595, 0.1595, 0.0000)
Al (0.8405, 0.6595, 0.0000)
Pd (0.1378, 0.6378, 0.5000)
Pd (0.3622, 0.1378, 0.5000)
Pd (0.6378, 0.8622, 0.5000)
Pd (0.8622, 0.3622, 0.5000)
Au (0.0000, 0.0000, 0.5000)
Au (0.5000, 0.5000, 0.5000)

Which of them is the least stable? Correct choice: entry 2.

Entry 1
Density functional theory data (PBE-GGA) for a geometry-optimized Al2Pd8Au structure.

Results
SG: C2/m, No. 12
density of states at the Fermi level: 5.5 states/eV/cell
mass density: 10.856 g cm⁻³

a b c (Å): 7.2074 7.2074 6.3781
angles (deg): 108.81 108.81 32.70
Fractional positions:
Al (0.2192, 0.2192, 0.1586)
Al (0.7808, 0.7808, 0.8414)
Pd (0.0441, 0.0441, 0.2262)
Pd (0.1543, 0.1543, 0.7202)
Pd (0.3197, 0.3197, 0.5748)
Pd (0.3937, 0.3937, 0.0300)
Pd (0.6063, 0.6063, 0.9700)
Pd (0.6803, 0.6803, 0.4252)
Pd (0.8457, 0.8457, 0.2798)
Pd (0.9559, 0.9559, 0.7738)
Au (0.5000, 0.5000, 0.5000)

Entry 2
Density functional theory data (PBE-GGA) for a geometry-optimized Al2Pd8Au structure.

Results
SG: Immm, No. 71
density of states at the Fermi level: 5.1 states/eV/cell
mass density: 10.611 g cm⁻³

a b c (Å): 7.2887 7.2887 7.2887
angles (deg): 147.52 122.83 67.31
Fractional positions:
Al (0.1950, 0.1950, 0.0000)
Al (0.8050, 0.8050, 0.0000)
Pd (0.0560, 0.3397, 0.7164)
Pd (0.1931, 0.0000, 0.1931)
Pd (0.3466, 0.8466, 0.5000)
Pd (0.3767, 0.6603, 0.7164)
Pd (0.6233, 0.3397, 0.2836)
Pd (0.6534, 0.1534, 0.5000)
Pd (0.8069, 0.0000, 0.8069)
Pd (0.9440, 0.6603, 0.2836)
Au (0.5000, 0.5000, 0.0000)

Which of them is the least stable? Correct choice: entry 2.

Entry 1
Density functional theory data (PBE-GGA) for a geometry-optimized Al2Pd6Au structure.

Results
SG: C2/m, No. 12
density of states at the Fermi level: 3.2 states/eV/cell
mass density: 10.684 g cm⁻³

a b c (Å): 4.7625 4.7625 8.3913
angles (deg): 102.94 102.94 48.53
Fractional positions:
Al (0.1815, 0.1815, 0.2378)
Al (0.8185, 0.8185, 0.7622)
Pd (0.1628, 0.1628, 0.5524)
Pd (0.1727, 0.1727, 0.8835)
Pd (0.4904, 0.4904, 0.6707)
Pd (0.5096, 0.5096, 0.3293)
Pd (0.8273, 0.8273, 0.1165)
Pd (0.8372, 0.8372, 0.4476)
Au (0.5000, 0.5000, 0.0000)

Entry 2
Density functional theory data (PBE-GGA) for a geometry-optimized Al2Pd6Au structure.

Results
SG: Fmmm, No. 69
density of states at the Fermi level: 4.6 states/eV/cell
mass density: 10.711 g cm⁻³

a b c (Å): 8.1725 6.5924 5.6665
angles (deg): 83.25 53.23 43.52
Fractional positions:
Al (0.1572, 0.1572, 0.8428)
Al (0.8428, 0.8428, 0.1572)
Pd (0.1661, 0.8339, 0.1661)
Pd (0.1726, 0.4776, 0.5224)
Pd (0.4776, 0.1726, 0.8274)
Pd (0.5224, 0.8274, 0.1726)
Pd (0.8274, 0.5224, 0.4776)
Pd (0.8339, 0.1661, 0.8339)
Au (0.5000, 0.5000, 0.5000)

Which of them is the least stable? Correct choice: entry 1.